The following is a PBE calculation of a relaxed Tb2ZnIr crystal, from Alexandria via LeMat-Bulk.

Cell and atoms, written as POSCAR:
```
Tb2ZnIr
1.0
-1.8345 3.6015 0.2081
-3.9635 0.2094 0.7918
-0.0880 1.6827 9.4581
Tb Zn Ir
2 1 1
direct
0.1147 0.1147 0.6559
0.8853 0.8853 0.3441
0.0000 0.0000 0.0000
0.5000 0.5000 0.5000
```

Computed properties:
Formation energy from the elements, eV/f.u.: -0.77
Fermi-level density of states, states/eV/atom: 0.882
Final energy, eV per atom: -5.0411